[1]
Entry from Alexandria: a geometry-optimized NaBeAl3 structure (PBEsol).

Results
The calculated total energy comes out at -1.9555 eV/atom. The theoretical density comes out at 1.52 g cm⁻³. The density of states at the Fermi level is 2.19 states/eV/cell.

Cell and atoms, written as CIF:
```
data_NaBeAl3
_chemical_formula_sum 'Na1 Be1 Al3'
_cell_length_a 4.975
_cell_length_b 4.975
_cell_length_c 4.975
_cell_angle_alpha 90.00
_cell_angle_beta 90.00
_cell_angle_gamma 90.00
_space_group_name_H-M_alt 'P m -3 m'
_space_group_IT_number 221
_space_group_name_Hall '-P 4 2 3'
loop_
_atom_site_label
_atom_site_fract_x
_atom_site_fract_y
_atom_site_fract_z
_atom_site_occupancy
Na1 0.000 0.000 0.000 1
Be1 0.500 0.500 0.500 1
Al1 0.000 0.000 0.500 1
```

---

[2]
Entry from Alexandria: a geometry-optimized ScCd2Ir structure (PBEsol).

Results
The calculated total energy comes out at -4.8613 eV/atom. The theoretical density comes out at 10.75 g cm⁻³. The density of states at the Fermi level is 2.49 states/eV/cell.

Cell and atoms, written as CIF:
```
data_ScCd2Ir
_chemical_formula_sum 'Sc1 Cd2 Ir1'
_cell_length_a 3.005
_cell_length_b 4.287
_cell_length_c 5.539
_cell_angle_alpha 90.00
_cell_angle_beta 90.00
_cell_angle_gamma 90.00
_space_group_name_H-M_alt 'P m m m'
_space_group_IT_number 47
loop_
_space_group_symop_operation_xyz
'x,y,z'
'-x,-y,-z'
'-x,-y,z'
'x,y,-z'
'x,-y,-z'
'-x,y,z'
'-x,y,-z'
'x,-y,z'
loop_
_atom_site_label
_atom_site_fract_x
_atom_site_fract_y
_atom_site_fract_z
_atom_site_occupancy
Sc1 0.000 0.000 0.000 1
Cd1 0.500 0.500 0.261 1
Ir1 0.000 0.000 0.500 1
```

---

[3]
Entry from Alexandria: a geometry-optimized MoAsI2 structure (PBEsol).

Results
The calculated total energy comes out at -4.8309 eV/atom. The theoretical density comes out at 6.01 g cm⁻³. The density of states at the Fermi level is 13.59 states/eV/cell.

Cell and atoms, written as CIF:
```
data_MoAsI2
_chemical_formula_sum 'Mo4 As4 I8'
_cell_length_a 9.864
_cell_length_b 9.864
_cell_length_c 4.825
_cell_angle_alpha 90.00
_cell_angle_beta 90.00
_cell_angle_gamma 90.00
_space_group_name_H-M_alt 'I -4 2 d'
_space_group_IT_number 122
_space_group_name_Hall 'I -4 2bw'
loop_
_atom_site_label
_atom_site_fract_x
_atom_site_fract_y
_atom_site_fract_z
_atom_site_occupancy
Mo1 0.000 0.000 0.000 1
As1 0.000 0.000 0.500 1
I1 0.108 0.750 0.125 1
```

---

[4]
Entry from Alexandria: a geometry-optimized La2InW structure (PBEsol).

Results
The calculated total energy comes out at -6.5268 eV/atom. The theoretical density comes out at 10.04 g cm⁻³. The density of states at the Fermi level is 3.84 states/eV/cell.

Cell and atoms, written as CIF:
```
data_La2InW
_chemical_formula_sum 'La2 In1 W1'
_cell_length_a 3.670
_cell_length_b 3.670
_cell_length_c 7.078
_cell_angle_alpha 90.00
_cell_angle_beta 90.00
_cell_angle_gamma 90.00
_space_group_name_H-M_alt 'P 4 m m'
_space_group_IT_number 99
loop_
_space_group_symop_operation_xyz
'x,y,z'
'-y,x,z'
'-x,-y,z'
'y,-x,z'
'-x,y,z'
'y,x,z'
'x,-y,z'
'-y,-x,z'
loop_
_atom_site_label
_atom_site_fract_x
_atom_site_fract_y
_atom_site_fract_z
_atom_site_occupancy
La1 0.000 0.000 0.000 1
La2 0.500 0.500 0.293 1
In1 0.500 0.500 0.729 1
W1 0.000 0.000 0.550 1
```

---

[5]
Entry from Alexandria: a geometry-optimized Zr2HgH2 structure (PBEsol).

Results
The calculated total energy comes out at -5.5542 eV/atom. The theoretical density comes out at 9.59 g cm⁻³. The density of states at the Fermi level is 4.14 states/eV/cell.

Cell and atoms, written as CIF:
```
data_Zr2HgH2
_chemical_formula_sum 'Zr4 Hg2 H4'
_cell_length_a 3.703
_cell_length_b 3.703
_cell_length_c 9.725
_cell_angle_alpha 90.00
_cell_angle_beta 90.00
_cell_angle_gamma 90.00
_space_group_name_H-M_alt 'I 4/m m m'
_space_group_IT_number 139
_space_group_name_Hall '-I 4 2'
loop_
_atom_site_label
_atom_site_fract_x
_atom_site_fract_y
_atom_site_fract_z
_atom_site_occupancy
Zr1 0.000 0.000 0.155 1
Hg1 0.000 0.000 0.500 1
H1 0.000 0.500 0.250 1
```

---

[6]
Entry from Alexandria: a geometry-optimized Zr2ScCu structure (PBEsol).

Results
The calculated total energy comes out at -7.3409 eV/atom. The theoretical density comes out at 6.10 g cm⁻³. The density of states at the Fermi level is 7.22 states/eV/cell.

Cell and atoms, written as CIF:
```
data_Zr2ScCu
_chemical_formula_sum 'Zr4 Sc2 Cu2'
_cell_length_a 3.227
_cell_length_b 4.755
_cell_length_c 10.315
_cell_angle_alpha 90.00
_cell_angle_beta 90.00
_cell_angle_gamma 90.00
_space_group_name_H-M_alt 'I m m m'
_space_group_IT_number 71
_space_group_name_Hall '-I 2 2'
loop_
_atom_site_label
_atom_site_fract_x
_atom_site_fract_y
_atom_site_fract_z
_atom_site_occupancy
Zr1 0.000 0.000 0.214 1
Sc1 0.000 0.500 0.000 1
Cu1 0.000 0.500 0.500 1
```

---

[7]
Entry from Alexandria: a geometry-optimized Ho2Ni12P7 structure (PBEsol).

Results
The calculated total energy comes out at -6.7764 eV/atom. The theoretical density comes out at 8.31 g cm⁻³. The density of states at the Fermi level is 12.81 states/eV/cell.

Cell and atoms, written as CIF:
```
data_Ho2Ni12P7
_chemical_formula_sum 'Ho2 Ni12 P7'
_cell_length_a 8.9169
_cell_length_b 8.9169
_cell_length_c 3.6316
_cell_angle_alpha 90.00
_cell_angle_beta 90.00
_cell_angle_gamma 120.00
_space_group_name_H-M_alt 'P -6'
_space_group_IT_number 174
loop_
_space_group_symop_operation_xyz
'x,y,z'
'-x+y,-x,-z'
'-y,x-y,z'
'x,y,-z'
'-x+y,-x,z'
'-y,x-y,-z'
loop_
_atom_site_label
_atom_site_fract_x
_atom_site_fract_y
_atom_site_fract_z
_atom_site_occupancy
Ho1 0.0000 0.0000 0.0000 1
Ho2 0.3333 0.6667 0.5000 1
Ni1 0.0473 0.2837 0.5000 1
Ni2 0.1019 0.7080 0.0000 1
Ni3 0.3914 0.1820 0.0000 1
Ni4 0.5462 0.4280 0.5000 1
P1 0.0728 0.4468 0.0000 1
P2 0.2611 0.2232 0.5000 1
P3 0.6667 0.3333 0.0000 1
```

---

[8]
Entry from Alexandria: a geometry-optimized GdRh5 structure (PBEsol).

Results
The calculated total energy comes out at -9.4474 eV/atom. The theoretical density comes out at 11.38 g cm⁻³. The density of states at the Fermi level is 7.61 states/eV/cell.

Cell and atoms, written as CIF:
```
data_GdRh5
_chemical_formula_sum 'Gd1 Rh5'
_cell_length_a 5.1530
_cell_length_b 5.1530
_cell_length_c 4.2639
_cell_angle_alpha 90.00
_cell_angle_beta 90.00
_cell_angle_gamma 120.00
_space_group_name_H-M_alt 'P 6/m m m'
_space_group_IT_number 191
_space_group_name_Hall '-P 6 2'
loop_
_atom_site_label
_atom_site_fract_x
_atom_site_fract_y
_atom_site_fract_z
_atom_site_occupancy
Gd1 0.0000 0.0000 0.0000 1
Rh1 0.0000 0.5000 0.5000 1
Rh2 0.3333 0.6667 0.0000 1
```

---

[9]
Entry from Alexandria: a geometry-optimized LiVF4 structure (PBEsol).

Results
The calculated total energy comes out at -6.1022 eV/atom. The theoretical density comes out at 3.45 g cm⁻³. The density of states at the Fermi level is 10.01 states/eV/cell.

Cell and atoms, written as CIF:
```
data_LiVF4
_chemical_formula_sum 'Li2 V2 F8'
_cell_length_a 6.376
_cell_length_b 6.600
_cell_length_c 3.061
_cell_angle_alpha 90.00
_cell_angle_beta 90.00
_cell_angle_gamma 90.00
_space_group_name_H-M_alt 'C m m m'
_space_group_IT_number 65
_space_group_name_Hall '-C 2 2'
loop_
_atom_site_label
_atom_site_fract_x
_atom_site_fract_y
_atom_site_fract_z
_atom_site_occupancy
Li1 0.000 0.000 0.000 1
V1 0.000 0.500 0.500 1
F1 0.000 0.312 0.000 1
F2 0.205 0.000 0.500 1
```

---

[10]
Entry from Alexandria: a geometry-optimized Sr8Pr4Cu9Hg3O24 structure (PBEsol).

Results
The calculated total energy comes out at -6.0575 eV/atom. The theoretical density comes out at 6.58 g cm⁻³. The density of states at the Fermi level is 14.36 states/eV/cell.

Cell and atoms, written as CIF:
```
data_Sr8Pr4Cu9Hg3O24
_chemical_formula_sum 'Sr16 Pr8 Cu18 Hg6 O48'
_cell_length_a 15.397
_cell_length_b 7.689
_cell_length_c 12.627
_cell_angle_alpha 90.00
_cell_angle_beta 107.74
_cell_angle_gamma 90.00
_space_group_name_H-M_alt 'C 1 2/m 1'
_space_group_IT_number 12
loop_
_space_group_symop_operation_xyz
'x,y,z'
'-x,-y,-z'
'-x,y,-z'
'x,-y,z'
'x+1/2,y+1/2,z'
'-x+1/2,-y+1/2,-z'
'-x+1/2,y+1/2,-z'
'x+1/2,-y+1/2,z'
loop_
_atom_site_label
_atom_site_fract_x
_atom_site_fract_y
_atom_site_fract_z
_atom_site_occupancy
Sr1 0.068 0.244 0.283 1
Sr2 0.177 0.245 0.717 1
Pr1 0.000 0.251 0.000 1
Pr2 0.250 0.250 0.000 1
Cu1 0.000 0.000 0.500 1
Cu2 0.091 0.000 0.865 1
Cu3 0.091 0.500 0.863 1
Cu4 0.159 0.500 0.139 1
Cu5 0.160 0.000 0.138 1
Hg1 0.000 0.500 0.500 1
Hg2 0.249 0.000 0.500 1
O1 0.032 0.500 0.132 1
O2 0.033 0.000 0.132 1
O3 0.038 0.000 0.651 1
O4 0.042 0.500 0.668 1
O5 0.092 0.249 0.868 1
O6 0.158 0.250 0.131 1
O7 0.208 0.000 0.332 1
O8 0.208 0.500 0.332 1
O9 0.217 0.000 0.868 1
O10 0.217 0.500 0.869 1
```